*one*
Material: Tl7Pb
Method: DFT, PBE-GGA
State: optimized geometry

POSCAR file:
```
Tl7Pb
1.0
0.000 4.962 4.962
4.962 0.000 4.962
4.962 4.962 0.000
Tl Pb
7 1
direct
0.000 0.000 0.000 Tl
0.000 0.000 0.500 Tl
0.000 0.500 0.000 Tl
0.000 0.500 0.500 Tl
0.500 0.000 0.000 Tl
0.500 0.000 0.500 Tl
0.500 0.500 0.000 Tl
0.500 0.500 0.500 Pb
```

=====

*two*
Material: Tl7Pb
Method: DFT, PBE-GGA
State: optimized geometry

POSCAR file:
```
Tl7Pb
1.0
-2.721 2.721 8.361
2.721 -2.721 8.361
2.721 2.721 -8.361
Tl Pb
7 1
direct
0.000 0.000 0.000 Tl
0.124 0.624 0.500 Tl
0.251 0.251 0.000 Tl
0.376 0.876 0.500 Tl
0.624 0.124 0.500 Tl
0.749 0.749 0.000 Tl
0.876 0.376 0.500 Tl
0.500 0.500 0.000 Pb
```

=====

*two* is favored, and the nearest alternative lies 0.014 eV/atom above it.

=====

*one*
Material: TlPb2
Method: DFT, PBE-GGA
State: optimized geometry

POSCAR file:
```
TlPb2
1.0
5.684 0.000 0.000
-2.842 4.922 0.000
0.000 0.000 6.775
Tl Pb
2 4
direct
0.333 0.667 0.250 Tl
0.667 0.333 0.750 Tl
0.000 0.000 0.000 Pb
0.000 0.000 0.500 Pb
0.333 0.667 0.750 Pb
0.667 0.333 0.250 Pb
```

=====

*two*
Material: TlPb2
Method: DFT, PBE-GGA
State: optimized geometry

POSCAR file:
```
TlPb2
1.0
1.746 -9.271 0.000
1.746 9.271 0.000
0.000 0.000 5.770
Tl Pb
2 4
direct
0.112 0.888 0.750 Tl
0.888 0.112 0.250 Tl
0.219 0.781 0.250 Pb
0.448 0.552 0.750 Pb
0.552 0.448 0.250 Pb
0.781 0.219 0.750 Pb
```

=====

*three*
Material: TlPb2
Method: DFT, PBE-GGA
State: optimized geometry

POSCAR file:
```
TlPb2
1.0
7.111 0.000 0.000
0.000 4.826 0.000
0.000 0.000 10.923
Tl Pb
4 8
direct
0.121 0.250 0.084 Tl
0.379 0.750 0.584 Tl
0.621 0.250 0.416 Tl
0.879 0.750 0.916 Tl
0.124 0.250 0.416 Pb
0.125 0.250 0.743 Pb
0.375 0.750 0.243 Pb
0.376 0.750 0.916 Pb
0.624 0.250 0.084 Pb
0.625 0.250 0.757 Pb
0.875 0.750 0.257 Pb
0.876 0.750 0.584 Pb
```

=====

*four*
Material: TlPb2
Method: DFT, PBE-GGA
State: optimized geometry

POSCAR file:
```
TlPb2
1.0
-3.871 3.871 3.222
3.871 -3.871 3.222
3.871 3.871 -3.222
Tl Pb
2 4
direct
0.250 0.250 0.000 Tl
0.750 0.750 0.000 Tl
0.152 0.652 0.803 Pb
0.348 0.152 0.500 Pb
0.652 0.848 0.500 Pb
0.848 0.348 0.197 Pb
```

=====

*two* is favored, and the nearest alternative lies 0.005 eV/atom above it.

=====

*one*
Material: TlPb2
Method: DFT, PBE-GGA
State: optimized geometry

POSCAR file:
```
TlPb2
1.0
-1.766 1.766 7.539
1.766 -1.766 7.539
1.766 1.766 -7.539
Tl Pb
1 2
direct
0.000 0.000 0.000 Tl
0.331 0.331 0.000 Pb
0.669 0.669 0.000 Pb
```

=====

*two*
Material: TlPb2
Method: DFT, PBE-GGA
State: optimized geometry

POSCAR file:
```
TlPb2
1.0
-1.780 2.439 5.416
1.780 -2.439 5.416
1.780 2.439 -5.416
Tl Pb
1 2
direct
0.000 0.000 0.000 Tl
0.331 0.331 0.000 Pb
0.669 0.669 0.000 Pb
```

=====

*one* is favored, and the nearest alternative lies 0.008 eV/atom above it.

=====

*one*
Material: Tl2Pb
Method: DFT, PBE-GGA
State: optimized geometry

POSCAR file:
```
Tl2Pb
1.0
-1.763 1.763 15.594
1.763 -1.763 15.594
1.763 1.763 -15.594
Tl Pb
4 2
direct
0.297 0.547 0.750 Tl
0.453 0.703 0.750 Tl
0.547 0.297 0.250 Tl
0.703 0.453 0.250 Tl
0.125 0.875 0.250 Pb
0.875 0.125 0.750 Pb
```

=====

*two*
Material: Tl2Pb
Method: DFT, PBE-GGA
State: optimized geometry

POSCAR file:
```
Tl2Pb
1.0
0.000 4.582 4.582
4.582 0.000 4.582
4.582 4.582 0.000
Tl Pb
4 2
direct
0.000 0.000 0.000 Tl
0.000 0.000 0.500 Tl
0.000 0.500 0.000 Tl
0.500 0.000 0.000 Tl
0.375 0.375 0.375 Pb
0.625 0.625 0.625 Pb
```

=====

*three*
Material: Tl2Pb
Method: DFT, PBE-GGA
State: optimized geometry

POSCAR file:
```
Tl2Pb
1.0
-1.749 2.566 5.176
1.749 -2.566 5.176
1.749 2.566 -5.176
Tl Pb
2 1
direct
0.165 0.165 0.000 Tl
0.835 0.835 0.000 Tl
0.500 0.500 0.000 Pb
```

=====

*four*
Material: Tl2Pb
Method: DFT, PBE-GGA
State: optimized geometry

POSCAR file:
```
Tl2Pb
1.0
0.000 7.358 7.358
7.358 0.000 7.358
7.358 7.358 0.000
Tl Pb
16 8
direct
0.000 0.000 0.000 Tl
0.000 0.000 0.500 Tl
0.000 0.500 0.000 Tl
0.183 0.183 0.567 Tl
0.183 0.567 0.183 Tl
0.183 0.567 0.567 Tl
0.433 0.433 0.817 Tl
0.433 0.817 0.433 Tl
0.433 0.817 0.817 Tl
0.500 0.000 0.000 Tl
0.567 0.183 0.183 Tl
0.567 0.183 0.567 Tl
0.567 0.567 0.183 Tl
0.817 0.433 0.433 Tl
0.817 0.433 0.817 Tl
0.817 0.817 0.433 Tl
0.148 0.784 0.784 Pb
0.216 0.216 0.216 Pb
0.216 0.216 0.852 Pb
0.216 0.852 0.216 Pb
0.784 0.148 0.784 Pb
0.784 0.784 0.148 Pb
0.784 0.784 0.784 Pb
0.852 0.216 0.216 Pb
```

=====

*three* is favored, and the nearest alternative lies 0.012 eV/atom above it.

=====

*one*
Material: Tl7Pb5
Method: DFT, PBE-GGA
State: optimized geometry

POSCAR file:
```
Tl7Pb5
1.0
7.191 -1.780 0.000
7.191 1.780 0.000
-1.128 0.000 15.307
Tl Pb
7 5
direct
0.000 0.000 0.000 Tl
0.192 0.192 0.581 Tl
0.355 0.355 0.837 Tl
0.420 0.420 0.266 Tl
0.580 0.580 0.734 Tl
0.645 0.645 0.163 Tl
0.808 0.808 0.419 Tl
0.114 0.114 0.349 Pb
0.319 0.319 0.069 Pb
0.500 0.500 0.500 Pb
0.681 0.681 0.931 Pb
0.886 0.886 0.651 Pb
```

=====

*two*
Material: Tl7Pb5
Method: DFT, PBE-GGA
State: optimized geometry

POSCAR file:
```
Tl7Pb5
1.0
3.484 0.000 0.000
0.000 10.501 0.000
0.000 0.000 10.236
Tl Pb
7 5
direct
0.000 0.000 0.000 Tl
0.000 0.000 0.499 Tl
0.000 0.333 0.003 Tl
0.000 0.667 0.003 Tl
0.500 0.168 0.252 Tl
0.500 0.500 0.755 Tl
0.500 0.832 0.252 Tl
0.000 0.336 0.504 Pb
0.000 0.664 0.504 Pb
0.500 0.166 0.750 Pb
0.500 0.500 0.258 Pb
0.500 0.834 0.750 Pb
```

=====

*two* is favored, and the nearest alternative lies 0.048 eV/atom above it.

=====

*one*
Material: Tl2Pb7
Method: DFT, PBE-GGA
State: optimized geometry

POSCAR file:
```
Tl2Pb7
1.0
9.741 0.000 0.000
-4.870 8.436 0.000
0.000 0.000 3.442
Tl Pb
2 7
direct
0.333 0.667 0.000 Tl
0.667 0.333 0.000 Tl
0.000 0.000 0.500 Pb
0.000 0.306 0.000 Pb
0.000 0.642 0.500 Pb
0.306 0.000 0.000 Pb
0.358 0.358 0.500 Pb
0.642 0.000 0.500 Pb
0.694 0.694 0.000 Pb
```

=====

*two*
Material: Tl2Pb7
Method: DFT, PBE-GGA
State: optimized geometry

POSCAR file:
```
Tl2Pb7
1.0
6.037 0.000 0.000
-3.019 5.228 0.000
0.000 0.000 8.908
Tl Pb
2 7
direct
0.333 0.667 0.000 Tl
0.667 0.333 0.000 Tl
0.000 0.000 0.000 Pb
0.000 0.331 0.667 Pb
0.000 0.669 0.333 Pb
0.331 0.000 0.667 Pb
0.331 0.331 0.333 Pb
0.669 0.000 0.333 Pb
0.669 0.669 0.667 Pb
```

=====

*two* is favored, and the nearest alternative lies 0.039 eV/atom above it.

=====

*one*
Material: TlPb6
Method: DFT, PBE-GGA
State: optimized geometry

POSCAR file:
```
TlPb6
1.0
-4.309 4.309 4.309
4.309 -4.309 4.309
4.309 4.309 -4.309
Tl Pb
1 6
direct
0.000 0.000 0.000 Tl
0.250 0.500 0.750 Pb
0.250 0.750 0.500 Pb
0.500 0.250 0.750 Pb
0.500 0.750 0.250 Pb
0.750 0.250 0.500 Pb
0.750 0.500 0.250 Pb
```

=====

*two*
Material: TlPb6
Method: DFT, PBE-GGA
State: optimized geometry

POSCAR file:
```
TlPb6
1.0
4.953 0.000 0.000
0.000 4.953 0.000
0.000 0.000 9.479
Tl Pb
1 6
direct
0.000 0.000 0.000 Tl
0.000 0.000 0.500 Pb
0.000 0.500 0.264 Pb
0.000 0.500 0.736 Pb
0.500 0.000 0.264 Pb
0.500 0.000 0.736 Pb
0.500 0.500 0.000 Pb
```

=====

*three*
Material: TlPb6
Method: DFT, PBE-GGA
State: optimized geometry

POSCAR file:
```
TlPb6
1.0
6.614 0.000 0.000
0.000 6.614 0.000
0.000 0.000 10.809
Tl Pb
2 12
direct
0.250 0.750 0.000 Tl
0.750 0.250 0.000 Tl
0.066 0.566 0.356 Pb
0.066 0.934 0.644 Pb
0.250 0.250 0.147 Pb
0.250 0.250 0.853 Pb
0.434 0.566 0.644 Pb
0.434 0.934 0.356 Pb
0.566 0.066 0.644 Pb
0.566 0.434 0.356 Pb
0.750 0.750 0.147 Pb
0.750 0.750 0.853 Pb
0.934 0.066 0.356 Pb
0.934 0.434 0.644 Pb
```

=====

*two* is favored, and the nearest alternative lies 0.042 eV/atom above it.

=====

*one*
Material: Tl8Pb3
Method: DFT, PBE-GGA
State: optimized geometry

POSCAR file:
```
Tl8Pb3
1.0
5.128 2.960 4.195
-5.128 2.960 4.195
0.000 -5.921 4.195
Tl Pb
8 3
direct
0.124 0.124 0.124 Tl
0.191 0.601 0.387 Tl
0.387 0.191 0.601 Tl
0.399 0.613 0.809 Tl
0.601 0.387 0.191 Tl
0.613 0.809 0.399 Tl
0.809 0.399 0.613 Tl
0.876 0.876 0.876 Tl
0.000 0.000 0.500 Pb
0.000 0.500 0.000 Pb
0.500 0.000 0.000 Pb
```

=====

*two*
Material: Tl8Pb3
Method: DFT, PBE-GGA
State: optimized geometry

POSCAR file:
```
Tl8Pb3
1.0
5.422 -2.501 0.000
5.422 2.501 0.000
-4.475 0.000 12.529
Tl Pb
8 3
direct
0.045 0.045 0.319 Tl
0.135 0.135 0.954 Tl
0.229 0.229 0.592 Tl
0.321 0.321 0.229 Tl
0.679 0.679 0.771 Tl
0.771 0.771 0.408 Tl
0.865 0.865 0.046 Tl
0.955 0.955 0.681 Tl
0.408 0.408 0.866 Pb
0.500 0.500 0.500 Pb
0.592 0.592 0.134 Pb
```

=====

*two* is favored, and the nearest alternative lies 0.160 eV/atom above it.

=====

*one*
Material: Tl7Pb3
Method: DFT, PBE-GGA
State: optimized geometry

POSCAR file:
```
Tl7Pb3
1.0
9.690 0.000 0.000
-4.845 8.392 0.000
0.000 0.000 8.266
Tl Pb
14 6
direct
0.084 0.542 0.000 Tl
0.128 0.256 0.702 Tl
0.128 0.872 0.702 Tl
0.256 0.128 0.202 Tl
0.333 0.667 0.672 Tl
0.458 0.542 0.000 Tl
0.458 0.916 0.000 Tl
0.542 0.084 0.500 Tl
0.542 0.458 0.500 Tl
0.667 0.333 0.172 Tl
0.744 0.872 0.702 Tl
0.872 0.128 0.202 Tl
0.872 0.744 0.202 Tl
0.916 0.458 0.500 Tl
0.217 0.434 0.330 Pb
0.217 0.783 0.330 Pb
0.434 0.217 0.830 Pb
0.566 0.783 0.330 Pb
0.783 0.217 0.830 Pb
0.783 0.566 0.830 Pb
```

=====

*two*
Material: Tl7Pb3
Method: DFT, PBE-GGA
State: optimized geometry

POSCAR file:
```
Tl7Pb3
1.0
8.998 -2.531 0.000
8.998 2.531 0.000
-1.504 0.000 6.779
Tl Pb
7 3
direct
0.000 0.000 0.000 Tl
0.199 0.199 0.595 Tl
0.401 0.401 0.202 Tl
0.401 0.401 0.703 Tl
0.599 0.599 0.297 Tl
0.599 0.599 0.798 Tl
0.801 0.801 0.405 Tl
0.000 0.000 0.500 Pb
0.204 0.204 0.097 Pb
0.796 0.796 0.903 Pb
```

=====

*two* is favored, and the nearest alternative lies 0.052 eV/atom above it.